(1)
Computed, not measured: a relaxed PuGa4AgAu2 crystal at the PBE level of DFT.

D(E_F) in states/eV/atom: 1.72
Crystal system: trigonal
Calculated formation energy in eV per atom: -0.211

Lattice parameters (Å, degrees): 4.4517 4.4517 9.2858 76.13 76.13 60.00
Fractional positions:
1 Pu 0.0000 0.0000 0.0000
2 Ga 0.3912 0.3912 0.8264
3 Ga 0.8767 0.8767 0.3700
4 Ga 0.1233 0.1233 0.6300
5 Ga 0.6088 0.6088 0.1736
6 Ag 0.5000 0.5000 0.5000
7 Au 0.7538 0.7538 0.7387
8 Au 0.2462 0.2462 0.2613

(2)
Computed, not measured: a relaxed La2Tb3Pm6Nd crystal at the PBE level of DFT.

D(E_F) in states/eV/atom: 1.60
Crystal system: monoclinic
Calculated formation energy in eV per atom: 0.018

Lattice parameters (Å, degrees): 6.3275 6.3275 12.1031 95.02 95.02 120.03
Fractional positions:
1 La 0.3334 0.6666 0.0000
2 La 0.6666 0.3334 0.0000
3 Tb 0.1665 0.8335 0.5000
4 Tb 0.8335 0.1665 0.5000
5 Tb 0.5000 0.5000 0.5000
6 Pm 0.9148 0.5818 0.7451
7 Pm 0.7522 0.7522 0.2549
8 Pm 0.0852 0.4182 0.2549
9 Pm 0.5818 0.9148 0.7451
10 Pm 0.2478 0.2478 0.7451
11 Pm 0.4182 0.0852 0.2549
12 Nd 0.0000 0.0000 0.0000

(3)
Computed, not measured: a relaxed Li2SiAu4 crystal at the PBE level of DFT.

Formation energy without anion corrections in eV per formula unit: -0.32
D(E_F) in states/eV/atom: 0.29
Crystal system: tetragonal

Lattice parameters (Å, degrees): 4.7336 4.7336 7.5908 108.17 108.17 90.00
Fractional positions:
1 Li 0.6246 0.6246 0.2492
2 Li 0.3754 0.3754 0.7508
3 Si 0.0000 0.0000 0.0000
4 Au 0.8178 0.8178 0.6355
5 Au 0.1822 0.1822 0.3644
6 Au 0.0000 0.5000 0.0000
7 Au 0.5000 0.0000 0.0000

(4)
Computed, not measured: a relaxed TiRe3Pt crystal at the PBE level of DFT.

D(E_F) in states/eV/atom: 1.11
Crystal system: cubic
Calculated formation energy in eV per atom: 1.806

Lattice parameters (Å, degrees): 4.4778 4.4778 4.4778 90.00 90.00 90.00
Fractional positions:
1 Re 0.0000 0.5000 0.0000
2 Re 0.0000 0.0000 0.5000
3 Re 0.5000 0.0000 0.0000
4 Pt 0.5000 0.5000 0.5000
5 Ti 0.0000 0.0000 0.0000

(5)
Computed, not measured: a relaxed K2MgAsCl6 crystal at the PBE level of DFT.

Formation energy without anion corrections in eV per formula unit: -13.76
Crystal system: tetragonal

Lattice parameters (Å, degrees): 7.1537 7.1541 7.5902 61.85 61.85 90.00
Fractional positions:
1 K 0.7501 0.2503 0.4995
2 K 0.2499 0.7497 0.5005
3 Mg 0.0000 0.0000 0.0000
4 As 0.5000 0.5000 0.0000
5 Cl 0.2132 0.2132 0.5738
6 Cl 0.7460 0.7453 0.0003
7 Cl 0.2545 0.7461 0.0000
8 Cl 0.7455 0.2539 0.0000
9 Cl 0.2540 0.2547 0.9997
10 Cl 0.7868 0.7868 0.4262

(6)
Computed, not measured: a relaxed Ho6TlSe2S3 crystal at the PBE level of DFT.

Formation energy without anion corrections in eV per formula unit: -19.06
D(E_F) in states/eV/atom: 0.48
Crystal system: monoclinic

Lattice parameters (Å, degrees): 3.9301 8.2461 9.0401 103.48 102.55 90.00
Fractional positions:
1 Ho 0.3277 0.9288 0.6554
2 Ho 0.6611 0.5949 0.3222
3 Ho 0.6723 0.0712 0.3446
4 Ho 0.9972 0.2707 0.9944
5 Ho 0.0028 0.7293 0.0056
6 Ho 0.3389 0.4051 0.6778
7 Tl 0.5000 0.0000 0.0000
8 Se 0.8303 0.6618 0.6606
9 Se 0.1697 0.3382 0.3394
10 S 0.5000 0.5000 0.0000
11 S 0.8322 0.1697 0.6644
12 S 0.1678 0.8303 0.3356

(7)
Computed, not measured: a relaxed Sc2Ti3Ge4 crystal at the PBE level of DFT.

D(E_F) in states/eV/atom: 0.87
Crystal system: monoclinic
Calculated formation energy in eV per atom: -0.798

Lattice parameters (Å, degrees): 6.8070 7.0061 6.9953 90.00 90.00 109.90
Fractional positions:
1 Sc 0.5603 0.1875 0.3287
2 Sc 0.9397 0.8125 0.8287
3 Sc 0.4397 0.8125 0.6713
4 Sc 0.0603 0.1875 0.1713
5 Ti 0.0000 0.5000 0.5000
6 Ti 0.5000 0.5000 0.0000
7 Ti 0.7467 0.2532 0.8242
8 Ti 0.7533 0.7468 0.3242
9 Ti 0.2533 0.7468 0.1758
10 Ti 0.2467 0.2532 0.6758
11 Ge 0.8509 0.0826 0.5355
12 Ge 0.6491 0.9174 0.0355
13 Ge 0.1491 0.9174 0.4645
14 Ge 0.3509 0.0826 0.9645
15 Ge 0.8611 0.4866 0.1341
16 Ge 0.6389 0.5134 0.6341
17 Ge 0.1389 0.5134 0.8659
18 Ge 0.3611 0.4866 0.3659

(8)
Computed, not measured: a relaxed Ho2Tm3Te2 crystal at the PBE level of DFT.

Formation energy without anion corrections in eV per formula unit: -4.67
D(E_F) in states/eV/atom: 1.04
Crystal system: monoclinic

Lattice parameters (Å, degrees): 3.9343 6.7330 8.4485 110.56 90.00 106.99
Fractional positions:
1 Ho 0.8659 0.7318 0.2047
2 Ho 0.1341 0.2682 0.7953
3 Tm 0.5000 0.0000 0.0000
4 Tm 0.6172 0.2345 0.4441
5 Tm 0.3828 0.7655 0.5559
6 Te 0.8194 0.6388 0.7943
7 Te 0.1806 0.3612 0.2057

Volume for every record listed, in sequence, given in A^3/atom: 19.14; 34.42; 21.81; 17.96; 28.93; 23.14; 17.43; 28.44.